Record 1
The following is a DFT calculation (PBE) of an optimized crystal structure of Nd5Y8Tl.

The space group is I-4 (No. 82) and the conventional cell measures 10.6765, 10.6765 and 8.3613 Å, with angles of 90.00, 90.00 and 90.00 degrees. The distinct sites, in fractional coordinates, are Nd at (0.0000, 0.0000, 0.0000), Nd at (0.9997, 0.1969, 0.4153), Y at (0.0000, 0.3400, 0.0803), Y at (0.2089, 0.7098, 0.7500) and Tl at (0.0000, 0.5000, 0.7500).

Its density of states at the Fermi level is 44.40 states/eV/cell. The total energy comes out at -152.24 eV per cell. The formation energy comes out at 129 meV/atom.

***

Record 2
The following is a DFT calculation (PBE) of an optimized crystal structure of Nd5Y3Tl2.

The space group is P-1 (No. 2) and the conventional cell measures 6.6739, 10.0550 and 10.0577 Å, with angles of 106.08, 91.87 and 91.85 degrees. The distinct sites, in fractional coordinates, are Nd at (0.0414, 0.1881, 0.2976), Nd at (0.1055, 0.2986, 0.9850), Nd at (0.2500, 0.9652, 0.0350), Nd at (0.3934, 0.0159, 0.7022), Nd at (0.4585, 0.7027, 0.8120), Y at (0.0857, 0.8514, 0.3759), Y at (0.2500, 0.5324, 0.4673), Y at (0.4155, 0.6241, 0.1490), Tl at (0.0926, 0.4671, 0.7538) and Tl at (0.4084, 0.2454, 0.5318).

Its density of states at the Fermi level is 22.72 states/eV/cell. The total energy comes out at -97.97 eV per cell. The formation energy comes out at -102 meV/atom.

***

Record 3
The following is a DFT calculation (PBE) of an optimized crystal structure of NdY6Tl2.

The space group is C2/m (No. 12) and the conventional cell measures 12.8528, 3.7759 and 12.1142 Å, with angles of 90.00, 107.64 and 90.00 degrees. The distinct sites, in fractional coordinates, are Nd at (0.0000, 0.0000, 0.0000), Y at (0.0134, 0.0000, 0.3464), Y at (0.1877, 0.5000, 0.8741), Y at (0.1913, 0.5000, 0.5842) and Tl at (0.1417, 0.5000, 0.2136).

Its density of states at the Fermi level is 26.20 states/eV/cell. The total energy comes out at -99.48 eV per cell. The formation energy comes out at -162 meV/atom.

***

Q: What is the formula in the third record?
A: NdY6Tl2